Material: LiNiF
Method: DFT, GGA+U
State: relaxed

Results
Its uncorrected energy is -3.374 eV/atom. The calculation puts the polymorph energy (0 for the lowest one) at 0.683 eV/f.u. The space-group type is No. 194.

Lattice parameters (Å, degrees): 2.974 2.974 10.522 90.00 90.00 120.00
Positions (direct):
Li1 0.333 0.667 0.250
Li2 0.667 0.333 0.750
Ni1 0.000 0.000 0.000
Ni2 0.000 0.000 0.500
F1 0.000 0.000 0.250
F2 0.000 0.000 0.750

---

Material: LiNiF
Method: DFT, GGA+U
State: relaxed

Results
Its uncorrected energy is -3.346 eV/atom. The calculation puts the polymorph energy (0 for the lowest one) at 0.766 eV/f.u. The space-group type is No. 129.

Lattice parameters (Å, degrees): 3.604 3.604 6.283 90.00 90.00 90.00
Positions (direct):
Li1 0.250 0.250 0.066
Li2 0.750 0.750 0.934
Ni1 0.250 0.250 0.558
Ni2 0.750 0.750 0.442
F1 0.250 0.750 0.000
F2 0.750 0.250 0.000

---

Material: LiNiF2
Method: DFT, GGA+U
State: relaxed

Results
Its uncorrected energy is -3.941 eV/atom. The space-group type is No. 122.

Lattice parameters (Å, degrees): 4.939 4.939 4.939 116.83 116.83 95.58
Positions (direct):
Li1 0.000 0.000 0.000
Li2 0.750 0.250 0.500
Ni1 0.250 0.750 0.500
Ni2 0.500 0.500 0.000
F1 0.090 0.125 0.465
F2 0.375 0.910 0.035
F3 0.660 0.625 0.535
F4 0.875 0.340 0.965

---

Material: Li2NiF5
Method: DFT, GGA+U
State: relaxed

Results
Its uncorrected energy is -4.308 eV/atom. The space-group type is No. 63.

Lattice parameters (Å, degrees): 5.259 5.259 9.517 90.00 90.00 135.40
Positions (direct):
Li1 0.131 0.869 0.581
Li2 0.131 0.869 0.919
Li3 0.869 0.131 0.081
Li4 0.869 0.131 0.419
Ni1 0.199 0.801 0.250
Ni2 0.801 0.199 0.750
F1 0.067 0.933 0.115
F2 0.067 0.933 0.385
F3 0.264 0.736 0.750
F4 0.327 0.673 0.107
F5 0.327 0.673 0.393
F6 0.673 0.327 0.607
F7 0.673 0.327 0.893
F8 0.736 0.264 0.250
F9 0.933 0.067 0.615
F10 0.933 0.067 0.885